Sr2MnInSe | PBE-GGA | optimized geometry

Calculated values
Density, kg/m3: 3663
Crystal system: tetragonal
Uncorrected formation energy, eV per atom: -0.046
Energy relative to the lowest polymorph listed for this composition, meV/atom: 133
Space group: P4/mmm
Total magnetic moment, μB/atom: 0.888

```
Sr2MnInSe
1.0
5.797 0.000 0.000
0.000 5.797 0.000
0.000 0.000 5.718
Sr Mn In Se
2 1 1 1
Cartesian
0.000 2.899 0.000 Sr
2.899 0.000 0.000 Sr
0.000 0.000 2.859 Mn
2.899 2.899 2.859 In
2.899 2.899 0.000 Se
```